Below is Pm3HoSb3 after structural relaxation, with properties calculated at the PBE level.

```
Pm3HoSb3
1.0
4.5624 2.6341 6.2688
-4.5624 2.6341 6.2688
0.0000 -5.2682 6.2688
Pm Ho Sb
6 2 6
direct
0.0916 0.3471 0.8214
0.1786 0.9084 0.6530
0.3471 0.8214 0.0916
0.6530 0.1786 0.9084
0.8214 0.0916 0.3471
0.9084 0.6530 0.1786
0.3329 0.3329 0.3329
0.6671 0.6671 0.6671
0.0739 0.6936 0.4693
0.3064 0.5307 0.9261
0.4693 0.0739 0.6936
0.5307 0.9261 0.3064
0.6936 0.4693 0.0739
0.9261 0.3064 0.5307
```

magnetic moment	0.0	Bohr magnetons per cell
uncorrected formation energy	-0.937	eV/atom
space-group type	R-3 (148)
distance to the lowest polymorph of the same formula	96.9	meV/atom
final energy	-5.393	eV per atom